RhSe3S, optimized geometry, DFT PBE; volume = 21.66 Å³ per atom; symmetry = Pm-3m; electronic total energy = -17.15 eV per cell; magnetization = 1.845 μB per formula unit; crystal system = cubic; ΔE_f (raw) = 0.96 eV/atom
1.0
4.766 0.000 0.000
0.000 4.766 0.000
0.000 0.000 4.766
Rh Se S
1 3 1
Direct
0.000 0.000 0.000 Rh
0.000 0.500 0.500 Se
0.500 0.000 0.500 Se
0.500 0.500 0.000 Se
0.500 0.500 0.500 S

Mg2GaGeH, optimized geometry, DFT PBE; volume = 25.63 Å³ per atom; symmetry = P4/mmm; electronic total energy = -11.31 eV per cell; magnetization = 0.000 μB per formula unit; crystal system = tetragonal
1.0
5.078 0.000 0.000
0.000 5.078 0.000
0.000 0.000 4.969
Mg Ga Ge H
2 1 1 1
Direct
0.000 0.500 0.000 Mg
0.500 0.000 0.000 Mg
0.000 0.000 0.500 Ga
0.000 0.000 0.000 Ge
0.500 0.500 0.500 H

RbAsIO6, optimized geometry, DFT PBE; volume = 16.98 Å³ per atom; symmetry = P312; electronic total energy = -44.76 eV per cell; magnetization = 0.193 μB per formula unit; crystal system = trigonal; ΔE_f (raw) = -0.87 eV/atom
1.0
5.229 0.000 0.000
-2.615 4.529 0.000
0.000 0.000 6.454
Rb As I O
1 1 1 6
Direct
0.000 0.000 0.000 Rb
0.333 0.667 0.500 As
0.667 0.333 0.500 I
0.021 0.400 0.671 O
0.021 0.621 0.329 O
0.379 0.400 0.329 O
0.379 0.979 0.671 O
0.600 0.621 0.671 O
0.600 0.979 0.329 O

Th6CdTe12, optimized geometry, DFT PBE; volume = 36.72 Å³ per atom; symmetry = R-3; electronic total energy = -102.77 eV per cell; magnetization = 0.000 μB per formula unit; crystal system = trigonal; ΔE_f (raw) = -1.03 eV/atom
1.0
7.001 4.042 4.109
-7.001 4.042 4.109
0.000 -8.084 4.109
Th Cd Te
6 1 12
Direct
0.132 0.802 0.633 Th
0.198 0.367 0.868 Th
0.367 0.868 0.198 Th
0.633 0.132 0.802 Th
0.802 0.633 0.132 Th
0.868 0.198 0.367 Th
0.500 0.500 0.500 Cd
0.065 0.674 0.924 Te
0.076 0.935 0.326 Te
0.178 0.442 0.548 Te
0.326 0.076 0.935 Te
0.442 0.548 0.178 Te
0.452 0.822 0.558 Te
0.548 0.178 0.442 Te
0.558 0.452 0.822 Te
0.674 0.924 0.065 Te
0.822 0.558 0.452 Te
0.924 0.065 0.674 Te
0.935 0.326 0.076 Te

Sr3GeSb, optimized geometry, DFT PBE; volume = 36.43 Å³ per atom; symmetry = Cm; electronic total energy = -34.51 eV per cell; magnetization = 0.000 μB per formula unit; crystal system = monoclinic; ΔE_f (raw) = -0.69 eV/atom
1.0
8.882 -2.234 0.000
8.882 2.234 0.000
-0.645 0.000 9.181
Sr Ge Sb
6 2 2
Direct
0.000 0.000 0.000 Sr
0.152 0.152 0.614 Sr
0.367 0.367 0.763 Sr
0.519 0.519 0.377 Sr
0.712 0.712 0.010 Sr
0.807 0.807 0.367 Sr
0.549 0.549 0.742 Ge
0.970 0.970 0.634 Ge
0.149 0.149 0.255 Sb
0.370 0.370 0.122 Sb

K3Ho3GeS8, optimized geometry, DFT PBE; volume = 26.79 Å³ per atom; symmetry = R-3m; electronic total energy = -77.18 eV per cell; magnetization = 0.000 μB per formula unit; crystal system = trigonal; ΔE_f (raw) = -1.50 eV/atom
1.0
3.927 2.267 7.522
-3.927 2.267 7.522
0.000 -4.535 7.522
K Ho Ge S
3 3 1 8
Direct
0.000 0.500 0.500 K
0.500 0.000 0.500 K
0.500 0.500 0.000 K
0.000 0.000 0.500 Ho
0.000 0.500 0.000 Ho
0.500 0.000 0.000 Ho
0.500 0.500 0.500 Ge
0.233 0.233 0.233 S
0.258 0.715 0.715 S
0.285 0.285 0.742 S
0.285 0.742 0.285 S
0.715 0.258 0.715 S
0.715 0.715 0.258 S
0.742 0.285 0.285 S
0.767 0.767 0.767 S

La4TbDy2Tm, optimized geometry, DFT PBE; volume = 34.03 Å³ per atom; symmetry = Pmmm; electronic total energy = -37.85 eV per cell; magnetization = 0.000 μB per formula unit; crystal system = orthorhombic; energy of formation from the pure elements = 0.021 eV/atom
1.0
5.220 0.000 0.000
0.000 5.248 0.000
0.000 0.000 9.938
La Tb Dy Tm
4 1 2 1
Direct
0.000 0.000 0.248 La
0.000 0.000 0.752 La
0.500 0.500 0.249 La
0.500 0.500 0.751 La
0.500 0.000 0.500 Tb
0.000 0.500 0.500 Dy
0.500 0.000 0.000 Dy
0.000 0.500 0.000 Tm

Cs3CaSb2O6, optimized geometry, DFT PBE; volume = 23.91 Å³ per atom; symmetry = P-3m1; electronic total energy = -62.73 eV per cell; magnetization = 1.029 μB per formula unit; crystal system = trigonal; ΔE_f (raw) = -1.68 eV/atom
1.0
6.476 0.000 0.000
-3.238 5.609 0.000
0.000 0.000 7.898
Cs Ca Sb O
3 1 2 6
Direct
0.000 0.000 0.000 Cs
0.333 0.667 0.669 Cs
0.667 0.333 0.331 Cs
0.000 0.000 0.500 Ca
0.333 0.667 0.219 Sb
0.667 0.333 0.781 Sb
0.176 0.351 0.321 O
0.176 0.824 0.321 O
0.351 0.176 0.679 O
0.649 0.824 0.321 O
0.824 0.176 0.679 O
0.824 0.649 0.679 O

Mg3Cd2Ga, optimized geometry, DFT PBE; volume = 20.86 Å³ per atom; symmetry = P4/mmm; electronic total energy = -10.28 eV per cell; magnetization = 0.000 μB per formula unit; crystal system = tetragonal; energy of formation from the pure elements = -0.106 eV/atom
1.0
3.323 0.000 0.000
0.000 3.323 0.000
0.000 0.000 11.339
Mg Cd Ga
3 2 1
Direct
0.000 0.000 0.000 Mg
0.000 0.000 0.348 Mg
0.000 0.000 0.652 Mg
0.500 0.500 0.174 Cd
0.500 0.500 0.826 Cd
0.500 0.500 0.500 Ga

CePr3Ga4, optimized geometry, DFT PBE; volume = 27.97 Å³ per atom; symmetry = Immm; electronic total energy = -35.38 eV per cell; magnetization = 1.205 μB per formula unit; crystal system = orthorhombic; energy of formation from the pure elements = -0.375 eV/atom
1.0
-1.881 3.516 8.457
1.881 -3.516 8.457
1.881 3.516 -8.457
Ce Pr Ga
1 3 4
Direct
0.000 0.000 0.000 Ce
0.199 0.699 0.500 Pr
0.500 0.500 0.000 Pr
0.801 0.301 0.500 Pr
0.183 0.870 0.313 Ga
0.442 0.130 0.313 Ga
0.558 0.870 0.687 Ga
0.817 0.130 0.687 Ga

AcPm12Sn6, optimized geometry, DFT PBE; volume = 34.80 Å³ per atom; symmetry = R-3m; electronic total energy = -92.19 eV per cell; magnetization = 0.006 μB per formula unit; crystal system = trigonal; energy of formation from the pure elements = -0.371 eV/atom
1.0
7.075 4.085 3.813
-7.075 4.085 3.813
0.000 -8.170 3.813
Ac Pm Sn
1 12 6
Direct
0.000 0.000 0.000 Ac
0.118 0.500 0.882 Pm
0.118 0.882 0.500 Pm
0.174 0.438 0.438 Pm
0.438 0.174 0.438 Pm
0.438 0.438 0.174 Pm
0.500 0.118 0.882 Pm
0.500 0.882 0.118 Pm
0.562 0.562 0.826 Pm
0.562 0.826 0.562 Pm
0.826 0.562 0.562 Pm
0.882 0.118 0.500 Pm
0.882 0.500 0.118 Pm
0.251 0.251 0.709 Sn
0.251 0.709 0.251 Sn
0.291 0.749 0.749 Sn
0.709 0.251 0.251 Sn
0.749 0.291 0.749 Sn
0.749 0.749 0.291 Sn

TaCr2Ag, optimized geometry, DFT PBE; volume = 15.07 Å³ per atom; symmetry = Pm; electronic total energy = -32.38 eV per cell; magnetization = 0.000 μB per formula unit; crystal system = monoclinic; energy of formation from the pure elements = 0.393 eV/atom
1.0
2.766 0.000 0.000
0.000 3.889 0.000
-0.951 0.000 5.603
Ta Cr Ag
1 2 1
Direct
0.000 0.000 0.000 Ta
0.146 0.000 0.576 Cr
0.497 0.500 0.753 Cr
0.588 0.500 0.294 Ag

| no. | ρ (g cm⁻³) |
| --- | --- |
| 1 | 5.70 |
| 2 | 2.49 |
| 3 | 4.16 |
| 4 | 7.23 |
| 5 | 4.17 |
| 6 | 3.89 |
| 7 | 7.37 |
| 8 | 4.50 |
| 9 | 4.87 |
| 10 | 6.25 |
| 11 | 6.73 |
| 12 | 10.82 |